A geometry-optimized RbSr2Si2 structure. Source: Alexandria, functional PBE.

Properties
For the distance to the lowest polymorph of the same formula, the calculation gives 0.000 eV per atom. The total magnetic moment is 0.2 μB/f.u. The calculation puts the formation energy (no corrections) at -11 kJ/mol of atoms.

Cell lengths 8.669, 8.669, 4.463 Å; angles 90.00, 90.00, 90.00 degrees
Space group P4/mbm (No. 127)
Asymmetric unit:
Rb1 0.000 0.000 0.000 [2 per cell]
Sr1 0.172 0.328 0.500 [4 per cell]
Si1 0.097 0.597 0.000 [4 per cell]